(1)
5
Lattice="3.785 0.000 0.000 1.893 4.233 0.000 1.893 0.000 4.233" Properties=species:S:1:pos:R:3 comment="IrRh4 (SCAN, PBEsol geometry)" energy_ev_per_atom=-41.257 total_magnetization_mub_per_cell=0.00 pbc="T T T"
Rh 1.893 1.696 0.839
Rh 5.678 2.536 3.394
Rh 3.785 0.839 2.536
Rh 3.785 3.394 1.696
Ir 0.000 0.000 0.000

(2)
4
Lattice="-2.317 -1.290 -0.498 0.011 -2.298 -1.414 0.184 -5.787 6.835" Properties=species:S:1:pos:R:3 comment="Ir3Rh (SCAN, PBEsol geometry)" energy_ev_per_atom=-61.782 total_magnetization_mub_per_cell=0.00 pbc="T T T"
Ir -1.591 -7.032 3.695
Ir -1.061 -4.687 2.461
Ir -0.531 -2.343 1.228
Rh 0.184 -5.787 6.834

(3)
8
Lattice="3.811 0.000 0.000 0.000 5.385 0.001 0.000 -0.004 5.385" Properties=species:S:1:pos:R:3 comment="Ir5Rh3 (SCAN, PBEsol geometry)" energy_ev_per_atom=-57.123 total_magnetization_mub_per_cell=0.00 pbc="T T T"
Ir 0.000 2.693 0.001
Ir 1.905 1.341 4.041
Ir 0.000 0.000 0.000
Ir 0.000 -0.002 2.693
Ir 1.905 4.040 1.345
Rh 1.905 4.039 4.043
Rh 1.905 1.342 1.343
Rh 0.000 2.691 2.693

(4)
6
Lattice="-1.352 1.162 -3.379 -3.573 -0.331 1.316 0.835 4.859 3.490" Properties=species:S:1:pos:R:3 comment="Ir5Rh (SCAN, PBEsol geometry)" energy_ev_per_atom=-64.893 total_magnetization_mub_per_cell=0.00 pbc="T T T"
Ir -0.570 4.193 -0.493
Ir -1.787 -0.166 0.658
Ir 0.053 1.828 0.605
Ir -2.410 2.225 -0.432
Ir -1.681 3.464 1.860
Rh -0.676 0.581 -1.689

Please write out number 1 again, unchanged.
5
Lattice="3.785 0.000 0.000 1.893 4.233 0.000 1.893 0.000 4.233" Properties=species:S:1:pos:R:3 comment="IrRh4 (SCAN, PBEsol geometry)" energy_ev_per_atom=-41.257 total_magnetization_mub_per_cell=0.00 pbc="T T T"
Rh 1.893 1.696 0.839
Rh 5.678 2.536 3.394
Rh 3.785 0.839 2.536
Rh 3.785 3.394 1.696
Ir 0.000 0.000 0.000